This record from Alexandria via LeMat-Bulk describes an optimized crystal structure of Sc6Ni5Rh. The functional is PBE-GGA.

Cell: 7.141 7.141 6.320 Å, 90.00 90.00 143.11°
Fractional positions:
Sc1 0.000 0.000 0.248
Sc2 0.000 0.000 0.752
Sc3 0.333 0.667 0.249
Sc4 0.333 0.667 0.751
Sc5 0.667 0.333 0.249
Sc6 0.667 0.333 0.751
Ni1 0.166 0.834 0.000
Ni2 0.166 0.834 0.500
Ni3 0.500 0.500 0.000
Ni4 0.834 0.166 0.000
Ni5 0.834 0.166 0.500
Rh1 0.500 0.500 0.500

Computed properties:
Formation energy from the elements (meV/atom): -587.5
Total moment (Bohr magnetons per cell): 0.00